KCuIBr: relaxed, PBE-GGA.

abc: 5.5384 4.2999 6.7218
angles: 90.00 101.82 90.00
Space group Pm (No. 6)
Asymmetric unit:
K (0.0000, 0.0000, 0.0000) (multiplicity 1)
Cu (0.2519, 0.5000, 0.6486) (multiplicity 1)
I (0.5053, 0.5000, 0.0082) (multiplicity 1)
Br (0.0991, 0.0000, 0.5053) (multiplicity 1)

**Formation energy without anion corrections**: -0.8309 eV per atom
**Total moment**: 0.00 μB/cell